LaZr2Ru after structural relaxation. Source: the Alexandria database, functional GGA-PBEsol.

## Properties
* total moment: 0.000 Bohr magnetons per cell
* E_form: -188 meV per atom
* SG: P4/mmm
* offset from the most stable computed form: 0.0000 eV per atom
* calculated total energy: -8.61 eV/atom

abc: 3.274 3.274 7.998
angles: 90.00 90.00 90.00
Fractional coordinates of all 4 atoms:
La  0.500  0.500  0.000
Ru  0.500  0.500  0.500
Zr  0.000  0.000  0.695
Zr  0.000  0.000  0.305



La2ZrRu after structural relaxation. Source: the Alexandria database, functional GGA-PBEsol.

## Properties
* total moment: 0.000 Bohr magnetons per cell
* E_form: -54 meV per atom
* SG: Imm2
* calculated total energy: -7.54 eV/atom

abc: 3.552 5.423 6.140
angles: 116.21 106.81 90.00
Fractional coordinates of all 4 atoms:
La  0.000  0.000  0.001
La  0.213  0.713  0.426
Ru  0.482  0.482  0.963
Zr  0.805  0.305  0.610



La3ZrRu after structural relaxation. Source: the Alexandria database, functional GGA-PBEsol.

## Properties
* total moment: 0.631 Bohr magnetons per cell
* E_form: 1210 meV per atom
* SG: Pm-3m
* calculated total energy: -5.85 eV/atom

abc: 5.365 5.365 5.365
angles: 90.00 90.00 90.00
Last column: magnetic moment on the atom in μB.
Fractional coordinates of all 5 atoms:
Ru  0.500  0.500  0.500  -0.86
Zr  0.000  0.000  0.000  -0.04
La  0.000  0.500  0.000  0.04
La  0.000  0.000  0.500  0.04
La  0.500  0.000  0.000  0.04



LaZr2Ru after structural relaxation. Source: the Alexandria database, functional GGA-PBEsol.

## Properties
* total moment: 0.001 Bohr magnetons per cell
* E_form: 18 meV per atom
* SG: Pm
* offset from the most stable computed form: 0.2060 eV per atom
* calculated total energy: -8.41 eV/atom

abc: 3.258 4.364 6.326
angles: 90.00 97.52 90.00
Fractional coordinates of all 4 atoms:
La  0.051  0.000  0.532
Ru  0.532  0.500  0.805
Zr  0.947  0.000  0.970
Zr  0.470  0.500  0.193



LaZr2Ru after structural relaxation. Source: the Alexandria database, functional GGA-PBEsol.

## Properties
* total moment: 0.000 Bohr magnetons per cell
* E_form: 160 meV per atom
* SG: C2/m
* offset from the most stable computed form: 0.3486 eV per atom
* calculated total energy: -8.26 eV/atom

abc: 3.193 5.563 5.510
angles: 116.10 100.18 102.93
Fractional coordinates of all 4 atoms:
La  0.000  0.500  0.000
Ru  0.500  0.000  0.000
Zr  0.500  0.500  0.500
Zr  0.000  0.000  0.500



La3S4 after structural relaxation. Source: the Alexandria database, functional GGA-PBEsol.

## Properties
* total moment: 0.001 Bohr magnetons per cell
* formation energy from raw total energies: -2.234 eV per atom
* SG: I-43d
* calculated total energy: -7.03 eV/atom

abc: 7.452 7.452 7.452
angles: 109.47 109.47 109.47
Fractional coordinates of all 14 atoms:
La  0.125  0.875  0.250
La  0.625  0.250  0.875
La  0.875  0.750  0.625
La  0.250  0.375  0.125
La  0.750  0.125  0.375
La  0.375  0.625  0.750
S  0.347  0.000  0.000
S  0.500  0.847  0.500
S  0.000  0.500  0.347
S  0.653  0.653  0.153
S  0.000  0.500  0.847
S  0.153  0.153  0.653
S  0.847  0.000  0.000
S  0.500  0.347  0.500



LaS after structural relaxation. Source: the Alexandria database, functional GGA-PBEsol.

## Properties
* total moment: 0.000 Bohr magnetons per cell
* formation energy from raw total energies: -2.235 eV per atom
* SG: Fm-3m
* calculated total energy: -7.10 eV/atom

abc: 4.102 4.102 4.102
angles: 60.00 60.00 60.00
Fractional coordinates of all 2 atoms:
S  0.500  0.500  0.500
La  0.000  0.000  0.000



LaSnSbS2 after structural relaxation. Source: the Alexandria database, functional GGA-PBEsol.

## Properties
* total moment: 0.001 Bohr magnetons per cell
* formation energy from raw total energies: 0.065 eV per atom
* SG: P4/mmm
* calculated total energy: -4.52 eV/atom

abc: 4.869 4.869 6.325
angles: 90.00 90.00 90.00
Fractional coordinates of all 5 atoms:
Sb  0.500  0.500  0.500
S  0.000  0.500  0.000
S  0.500  0.000  0.000
Sn  0.000  0.000  0.000
La  0.000  0.000  0.500



La2ScWS after structural relaxation. Source: the Alexandria database, functional GGA-PBEsol.

## Properties
* total moment: 0.000 Bohr magnetons per cell
* formation energy from raw total energies: -0.139 eV per atom
* SG: P4/mmm
* calculated total energy: -7.24 eV/atom

abc: 4.434 5.470 5.470
angles: 90.00 90.00 90.00
Fractional coordinates of all 5 atoms:
Sc  0.500  0.500  0.500
S  0.000  0.000  0.000
W  0.500  0.000  0.000
La  0.000  0.000  0.500
La  0.000  0.500  0.000



La4Se7S after structural relaxation. Source: the Alexandria database, functional GGA-PBEsol.

## Properties
* total moment: 0.000 Bohr magnetons per cell
* formation energy from raw total energies: -1.810 eV per atom
* SG: P1
* calculated total energy: -6.20 eV/atom

abc: 4.175 8.372 8.453
angles: 89.89 90.01 89.98
Fractional coordinates of all 12 atoms:
La  0.268  0.626  0.716
La  0.779  0.867  0.279
La  0.722  0.379  0.278
La  0.228  0.127  0.726
Se  0.317  0.879  0.002
Se  0.811  0.620  0.997
Se  0.691  0.118  0.001
Se  0.185  0.383  0.002
Se  0.755  0.875  0.636
Se  0.743  0.375  0.636
Se  0.243  0.125  0.365
S  0.257  0.626  0.364



LaSeS after structural relaxation. Source: the Alexandria database, functional GGA-PBEsol.

## Properties
* total moment: 0.000 Bohr magnetons per cell
* formation energy from raw total energies: -1.887 eV per atom
* SG: P2_1/c
* calculated total energy: -6.41 eV/atom

abc: 4.092 8.218 8.316
angles: 90.07 90.00 90.00
Fractional coordinates of all 12 atoms:
La  0.728  0.626  0.288
La  0.228  0.874  0.712
La  0.272  0.374  0.712
La  0.772  0.126  0.288
Se  0.693  0.880  0.999
Se  0.193  0.620  0.001
Se  0.307  0.120  0.001
Se  0.807  0.380  0.999
S  0.744  0.625  0.636
S  0.244  0.875  0.364
S  0.256  0.375  0.364
S  0.756  0.125  0.636



La2SiS5 after structural relaxation. Source: the Alexandria database, functional GGA-PBEsol.

## Properties
* total moment: 0.000 Bohr magnetons per cell
* formation energy from raw total energies: -1.699 eV per atom
* SG: P2_1/c
* calculated total energy: -6.49 eV/atom

abc: 7.516 7.795 12.533
angles: 90.00 90.00 101.31
Fractional coordinates of all 32 atoms:
La  0.261  0.457  0.404
La  0.664  0.635  0.166
La  0.261  0.957  0.096
La  0.336  0.865  0.666
La  0.739  0.043  0.904
La  0.336  0.365  0.834
La  0.664  0.135  0.334
La  0.739  0.543  0.596
Si  0.170  0.905  0.383
Si  0.830  0.095  0.617
Si  0.830  0.595  0.883
Si  0.170  0.405  0.117
S  0.974  0.450  0.229
S  0.641  0.499  0.379
S  0.624  0.195  0.703
S  0.359  0.501  0.621
S  0.641  0.999  0.121
S  0.026  0.050  0.729
S  0.327  0.614  0.028
S  0.077  0.218  0.998
S  0.673  0.886  0.528
S  0.077  0.718  0.502
S  0.376  0.805  0.297
S  0.923  0.782  0.002
S  0.974  0.950  0.271
S  0.327  0.114  0.472
S  0.026  0.550  0.771
S  0.673  0.386  0.972
S  0.923  0.282  0.498
S  0.359  0.001  0.879
S  0.376  0.305  0.203
S  0.624  0.695  0.797



LaSmS2 after structural relaxation. Source: the Alexandria database, functional GGA-PBEsol.

## Properties
* total moment: 0.000 Bohr magnetons per cell
* formation energy from raw total energies: -2.184 eV per atom
* SG: R-3m
* calculated total energy: -6.99 eV/atom

abc: 4.007 4.007 7.027
angles: 73.43 73.43 60.00
Fractional coordinates of all 4 atoms:
S  0.754  0.754  0.739
S  0.246  0.246  0.261
Sm  0.500  0.500  0.500
La  0.000  0.000  0.000



La2SmS4 after structural relaxation. Source: the Alexandria database, functional GGA-PBEsol.

## Properties
* total moment: 0.000 Bohr magnetons per cell
* formation energy from raw total energies: -2.190 eV per atom
* SG: I-42d
* calculated total energy: -6.95 eV/atom

abc: 7.377 7.377 7.377
angles: 109.35 109.35 109.72
Fractional coordinates of all 14 atoms:
La  0.254  0.875  0.879
La  0.996  0.375  0.121
La  0.625  0.746  0.621
La  0.125  0.004  0.379
Sm  0.500  0.500  0.000
Sm  0.750  0.250  0.500
S  0.721  0.970  0.101
S  0.220  0.471  0.601
S  0.380  0.279  0.249
S  0.870  0.619  0.399
S  0.030  0.131  0.751
S  0.869  0.620  0.899
S  0.381  0.780  0.251
S  0.529  0.130  0.749



La2SnS after structural relaxation. Source: the Alexandria database, functional GGA-PBEsol.

## Properties
* total moment: 0.000 Bohr magnetons per cell
* formation energy from raw total energies: -1.090 eV per atom
* SG: Fm-3m
* calculated total energy: -5.92 eV/atom

abc: 5.321 5.321 5.321
angles: 60.00 60.00 60.00
Fractional coordinates of all 4 atoms:
S  0.000  0.000  0.000
Sn  0.500  0.500  0.500
La  0.250  0.250  0.250
La  0.750  0.750  0.750



LaSn3S after structural relaxation. Source: the Alexandria database, functional GGA-PBEsol.

## Properties
* total moment: 0.001 Bohr magnetons per cell
* formation energy from raw total energies: -0.177 eV per atom
* SG: Pm-3m
* calculated total energy: -4.68 eV/atom

abc: 5.206 5.206 5.206
angles: 90.00 90.00 90.00
Fractional coordinates of all 5 atoms:
S  0.000  0.000  0.000
Sn  0.000  0.500  0.000
Sn  0.000  0.000  0.500
Sn  0.500  0.000  0.000
La  0.500  0.500  0.500



SrLaS2 after structural relaxation. Source: the Alexandria database, functional GGA-PBEsol.

## Properties
* total moment: 0.000 Bohr magnetons per cell
* formation energy from raw total energies: -1.848 eV per atom
* SG: Fm-3m
* calculated total energy: -5.84 eV/atom

abc: 5.011 5.011 5.011
angles: 60.00 60.00 60.00
Fractional coordinates of all 4 atoms:
Sr  0.000  0.000  0.000
S  0.250  0.250  0.250
S  0.750  0.750  0.750
La  0.500  0.500  0.500



LaTeS2 after structural relaxation. Source: the Alexandria database, functional GGA-PBEsol.

## Properties
* total moment: 0.001 Bohr magnetons per cell
* formation energy from raw total energies: -1.094 eV per atom
* SG: R-3m
* calculated total energy: -5.50 eV/atom

abc: 4.237 4.237 8.483
angles: 75.54 75.54 60.00
Fractional coordinates of all 4 atoms:
S  0.893  0.893  0.322
S  0.107  0.107  0.678
Te  0.000  0.000  0.000
La  0.500  0.500  0.500



La4Tm11S22 after structural relaxation. Source: the Alexandria database, functional GGA-PBEsol.

## Properties
* total moment: 0.000 Bohr magnetons per cell
* formation energy from raw total energies: -2.178 eV per atom
* SG: C2/m
* calculated total energy: -6.82 eV/atom

abc: 3.895 11.186 19.322
angles: 91.55 95.79 90.00
Fractional coordinates of all 37 atoms:
La  0.896  0.988  0.791
La  0.104  0.012  0.209
La  0.633  0.649  0.266
La  0.367  0.351  0.734
Tm  0.203  0.940  0.405
Tm  0.797  0.060  0.595
Tm  0.538  0.732  0.076
Tm  0.462  0.268  0.924
Tm  0.342  0.701  0.684
Tm  0.658  0.299  0.316
Tm  0.737  0.648  0.474
Tm  0.263  0.352  0.526
Tm  0.929  0.639  0.859
Tm  0.071  0.361  0.141
Tm  0.000  0.000  0.000
S  0.913  0.246  0.826
S  0.087  0.754  0.174
S  0.810  0.310  0.620
S  0.190  0.690  0.380
S  0.719  0.412  0.439
S  0.281  0.588  0.561
S  0.557  0.510  0.115
S  0.443  0.490  0.885
S  0.864  0.550  0.728
S  0.136  0.450  0.272
S  0.407  0.787  0.815
S  0.593  0.213  0.185
S  0.546  0.971  0.093
S  0.454  0.029  0.907
S  0.651  0.907  0.302
S  0.349  0.093  0.698
S  0.830  0.849  0.661
S  0.170  0.151  0.339
S  0.991  0.760  0.983
S  0.009  0.240  0.017
S  0.746  0.881  0.491
S  0.254  0.119  0.509



LaTmS3 after structural relaxation. Source: the Alexandria database, functional GGA-PBEsol.

## Properties
* total moment: 0.000 Bohr magnetons per cell
* formation energy from raw total energies: -2.198 eV per atom
* SG: Pnma
* offset from the most stable computed form: 0.0000 eV per atom
* calculated total energy: -6.88 eV/atom

abc: 3.947 16.231 21.103
angles: 90.00 90.00 90.00
Fractional coordinates of all 60 atoms:
La  0.750  0.807  0.079
La  0.250  0.157  0.246
La  0.250  0.657  0.254
La  0.750  0.170  0.588
La  0.750  0.343  0.746
La  0.250  0.693  0.579
La  0.750  0.843  0.754
La  0.250  0.193  0.921
La  0.250  0.330  0.088
La  0.750  0.307  0.421
La  0.250  0.830  0.412
La  0.750  0.670  0.912
Tm  0.250  0.096  0.750
Tm  0.250  0.567  0.079
Tm  0.750  0.057  0.069
Tm  0.250  0.596  0.750
Tm  0.750  0.557  0.431
Tm  0.750  0.933  0.579
Tm  0.750  0.904  0.250
Tm  0.750  0.433  0.921
Tm  0.250  0.067  0.421
Tm  0.250  0.943  0.931
Tm  0.250  0.443  0.569
Tm  0.750  0.404  0.250
S  0.750  0.768  0.321
S  0.750  0.550  0.307
S  0.750  0.791  0.516
S  0.250  0.450  0.693
S  0.750  0.677  0.685
S  0.250  0.159  0.062
S  0.750  0.957  0.447
S  0.750  0.646  0.148
S  0.250  0.043  0.553
S  0.250  0.950  0.807
S  0.250  0.209  0.484
S  0.250  0.854  0.648
S  0.250  0.441  0.441
S  0.250  0.941  0.059
S  0.750  0.341  0.562
S  0.750  0.035  0.683
S  0.750  0.059  0.941
S  0.750  0.535  0.817
S  0.750  0.841  0.938
S  0.250  0.965  0.317
S  0.750  0.268  0.179
S  0.750  0.050  0.193
S  0.250  0.232  0.679
S  0.250  0.465  0.183
S  0.250  0.543  0.947
S  0.250  0.354  0.852
S  0.250  0.823  0.185
S  0.250  0.323  0.315
S  0.250  0.709  0.016
S  0.750  0.146  0.352
S  0.250  0.659  0.438
S  0.250  0.732  0.821
S  0.750  0.291  0.984
S  0.750  0.559  0.559
S  0.750  0.177  0.815
S  0.750  0.457  0.053